# 1
Below is a relaxed LiCd2GaSi crystal, with properties calculated at the GGA-PBE level.

- Calculated density: 4.126 g/cm3
- SG: P4/mmm (123)
- Total moment: 0.000 μB/cell
- Formation energy from raw total energies: 0.323 eV per atom

Cell: 5.237 5.237 4.837 Å, 90.00 90.00 90.00°
Atoms (fractional coordinates):
Li (0.000, 0.000, 0.000)
Cd (0.000, 0.500, 0.500)
Cd (0.500, 0.000, 0.500)
Ga (0.500, 0.500, 0.000)
Si (0.500, 0.500, 0.500)

# 2
Below is a relaxed SrLi2Cd4Ga crystal, with properties calculated at the GGA-PBE level.

- Calculated density: 5.421 g/cm3
- SG: R-3m (166)
- Total moment: 0.000 μB/cell
- ΔH_f (0 K): -1.6 eV/f.u.

Cell: 10.462 10.462 10.462 Å, 25.74 25.74 25.74°
Atoms (fractional coordinates):
Sr (0.000, 0.000, 0.000)
Li (0.230, 0.230, 0.230)
Li (0.770, 0.770, 0.770)
Cd (0.126, 0.126, 0.126)
Cd (0.403, 0.403, 0.403)
Cd (0.597, 0.597, 0.597)
Cd (0.874, 0.874, 0.874)
Ga (0.500, 0.500, 0.500)

# 3
Below is a relaxed SrLiCd4Ga2 crystal, with properties calculated at the GGA-PBE level.

- Calculated density: 6.209 g/cm3
- SG: R-3m (166)
- Total moment: 0.000 μB/cell
- ΔH_f (0 K): -1.6 eV/f.u.

Cell: 9.763 9.763 9.763 Å, 28.14 28.14 28.14°
Atoms (fractional coordinates):
Sr (0.000, 0.000, 0.000)
Li (0.500, 0.500, 0.500)
Cd (0.136, 0.136, 0.136)
Cd (0.401, 0.401, 0.401)
Cd (0.599, 0.599, 0.599)
Cd (0.864, 0.864, 0.864)
Ga (0.246, 0.246, 0.246)
Ga (0.754, 0.754, 0.754)

# 4
Below is a relaxed LiTlCdGa crystal, with properties calculated at the GGA-PBE level.

- Calculated density: 7.475 g/cm3
- SG: F-43m (216)
- Total moment: 0.000 μB/cell
- ΔH_f (0 K): -0.3 eV/f.u.

Cell: 4.981 4.981 4.981 Å, 60.00 60.00 60.00°
Atoms (fractional coordinates):
Li (0.000, 0.000, 0.000)
Tl (0.750, 0.750, 0.750)
Cd (0.250, 0.250, 0.250)
Ga (0.500, 0.500, 0.500)

> The lowest calculated density belongs to which entry?

LiCd2GaSi